Here is a geometry-optimized Sr3Ca5Mn7FeO24 structure from Alexandria via LeMat-Bulk. Energies are from GGA+U.

Cell lengths 10.8754, 10.8749, 7.6726 Å; angles 90.00, 90.01, 90.00 degrees
Last column: nearest neighbours and their distance in Å.
Space group Cm (No. 8)
Symmetry-distinct sites (fractional):
Sr1 0.0000 0.0000 0.0000 (multiplicity 2)  8 O 2.56-2.59
Sr2 0.2483 0.2488 0.9924 (multiplicity 4)  8 O 2.51-2.77
Ca1 0.0009 0.0000 0.5394 (multiplicity 2)  6 O 2.34-2.60
Ca2 0.2535 0.2523 0.4915 (multiplicity 4)  6 O 2.44-2.72
Ca3 0.4964 0.0000 0.0473 (multiplicity 2)  6 O 2.35-2.60
Ca4 0.4975 0.0000 0.4994 (multiplicity 2)  8 O 2.47-2.52
Mn1 0.2448 0.5000 0.7460 (multiplicity 2)  6 O 1.94-1.99
Mn2 0.2513 0.5000 0.2520 (multiplicity 2)  6 O 1.90-2.04
Mn3 0.2521 0.0000 0.7445 (multiplicity 2)  6 O 1.92-1.97
Mn4 0.4990 0.2461 0.7452 (multiplicity 4)  6 O 1.93-1.98
Mn5 0.4989 0.2522 0.2534 (multiplicity 4)  6 O 1.90-2.04
Fe1 0.2466 0.0000 0.2528 (multiplicity 2)  6 O 1.92-2.04
O1 0.0004 0.2865 0.9930 (multiplicity 4)  2 Mn 1.93-2.04
O2 0.1218 0.1245 0.7722 (multiplicity 4)  2 Mn 1.95-1.97
O3 0.1222 0.3762 0.2904 (multiplicity 4)  2 Mn 1.96-1.97
O4 0.1258 0.1299 0.2193 (multiplicity 4)  1 Mn 1.90, 1 Fe 1.95
O5 0.1261 0.3719 0.6924 (multiplicity 4)  2 Mn 1.93-1.94
O6 0.2095 0.5000 0.9934 (multiplicity 2)  2 Mn 1.94-2.04
O7 0.2149 0.0000 0.4990 (multiplicity 2)  1 Fe 1.92, 1 Mn 1.93
O8 0.2809 0.0000 0.9919 (multiplicity 2)  1 Mn 1.92, 1 Fe 2.04
O9 0.2880 0.5000 0.4942 (multiplicity 2)  2 Mn 1.90-1.99
O10 0.3692 0.3713 0.2097 (multiplicity 4)  2 Mn 1.93-1.94
O11 0.3711 0.1274 0.6975 (multiplicity 4)  2 Mn 1.93
O12 0.3733 0.3756 0.7764 (multiplicity 4)  2 Mn 1.96-1.98
O13 0.3769 0.1243 0.2815 (multiplicity 4)  1 Mn 1.93, 1 Fe 1.97
O14 0.4903 0.2875 0.4953 (multiplicity 4)  2 Mn 1.90-1.97

Magnetic moment (μB/f.u.): 25.2
Calculated total energy (eV per cell): -545.8
DOS(E_F) (states/eV/cell): 24.65
Crystal system: monoclinic